No. 1
Below is crystalline CoAg2Sb at its relaxed geometry, with properties calculated at the PBEsol level.

abc: 5.8996 5.8996 5.8996
angles: 100.71 100.71 128.93
Fractional coordinates of all 8 atoms:
Co  0.0000  0.0000  0.0000
Co  0.7500  0.2500  0.5000
Ag  0.0904  0.6250  0.9654
Ag  0.3750  0.3404  0.4654
Ag  0.6596  0.1250  0.0346
Ag  0.8750  0.9096  0.5346
Sb  0.2500  0.7500  0.5000
Sb  0.5000  0.5000  0.0000

E_tot ... -4.2778 eV/atom
N(E_F) ... 0.871 states/eV/atom
Mass density ... 9.134 g cm⁻³
Crystal system ... tetragonal
Uncorrected formation energy ... 0.451 eV per atom

No. 2
Below is crystalline CeInPt at its relaxed geometry, with properties calculated at the PBEsol level.

abc: 7.4799 7.4799 4.0473
angles: 90.00 90.00 120.00
Fractional coordinates of all 9 atoms:
Ce  0.0000  0.4124  0.0000
Ce  0.4124  0.0000  0.0000
Ce  0.5876  0.5876  0.0000
In  0.0000  0.7481  0.5000
In  0.2519  0.2519  0.5000
In  0.7481  0.0000  0.5000
Pt  0.0000  0.0000  0.0000
Pt  0.3333  0.6667  0.5000
Pt  0.6667  0.3333  0.5000

E_tot ... -6.4051 eV/atom
N(E_F) ... 1.128 states/eV/atom
Mass density ... 11.432 g cm⁻³
E_form ... -0.891 eV/atom
Crystal system ... hexagonal

No. 3
Below is crystalline CaGdAlO4 at its relaxed geometry, with properties calculated at the PBEsol level.

abc: 6.4648 6.4648 6.4648
angles: 147.20 147.20 47.06
Fractional coordinates of all 7 atoms:
Ca  0.0000  0.0000  0.0000
Gd  0.2854  0.2854  0.0000
Al  0.6375  0.6375  0.0000
O  0.1477  0.6477  0.5000
O  0.4745  0.4745  0.0000
O  0.6477  0.1477  0.5000
O  0.8108  0.8108  0.0000

E_tot ... -9.2035 eV/atom
N(E_F) ... 0.000 states/eV/atom
Mass density ... 6.062 g cm⁻³
Crystal system ... tetragonal
Uncorrected formation energy ... -3.251 eV per atom

No. 4
Below is crystalline Zr2ScTe at its relaxed geometry, with properties calculated at the PBEsol level.

abc: 5.6841 5.6841 5.6841
angles: 139.25 133.28 63.70
Fractional coordinates of all 4 atoms:
Zr  0.2460  0.2460  0.0000
Zr  0.7540  0.7540  0.0000
Sc  0.5000  0.0000  0.5000
Te  0.0000  0.5000  0.5000

E_tot ... -7.4705 eV/atom
N(E_F) ... 1.078 states/eV/atom
Mass density ... 6.844 g cm⁻³
Crystal system ... orthorhombic
Uncorrected formation energy ... -0.393 eV per atom

No. 5
Below is crystalline BaNaSe2Br at its relaxed geometry, with properties calculated at the PBEsol level.

abc: 5.0784 5.0784 5.6012
angles: 90.00 90.00 90.00
Fractional coordinates of all 5 atoms:
Ba  0.0000  0.0000  0.0000
Na  0.5000  0.5000  0.5000
Se  0.0000  0.5000  0.5000
Se  0.5000  0.0000  0.5000
Br  0.5000  0.5000  0.0000

E_tot ... -3.5306 eV/atom
N(E_F) ... 0.715 states/eV/atom
Mass density ... 4.577 g cm⁻³
Crystal system ... tetragonal
Uncorrected formation energy ... -0.907 eV per atom

No. 6
Below is crystalline NaCaAsBr2 at its relaxed geometry, with properties calculated at the PBEsol level.

abc: 5.1791 5.1791 5.4373
angles: 90.00 90.00 90.00
Fractional coordinates of all 5 atoms:
Na  0.0000  0.0000  0.0000
Ca  0.5000  0.5000  0.5000
As  0.0000  0.0000  0.5000
Br  0.0000  0.5000  0.0000
Br  0.5000  0.0000  0.0000

E_tot ... -2.9990 eV/atom
N(E_F) ... 0.478 states/eV/atom
Mass density ... 3.391 g cm⁻³
Crystal system ... tetragonal
Uncorrected formation energy ... -0.523 eV per atom

No. 7
Below is crystalline Cu5Au at its relaxed geometry, with properties calculated at the PBEsol level.

abc: 4.2225 6.8017 6.8017
angles: 22.34 90.00 90.00
Fractional coordinates of all 6 atoms:
Cu  0.0000  0.0000  0.0000
Cu  0.0000  0.3208  0.3208
Cu  0.0000  0.6607  0.6607
Cu  0.5000  0.1127  0.1127
Cu  0.5000  0.7678  0.7678
Au  0.5000  0.4393  0.4393

E_tot ... -4.2478 eV/atom
N(E_F) ... 0.294 states/eV/atom
Mass density ... 11.509 g cm⁻³
E_form ... 0.018 eV/atom
Crystal system ... orthorhombic
E above lowest polymorph ... 0.038 eV/atom

No. 8
Below is crystalline YTa2TlFe at its relaxed geometry, with properties calculated at the PBEsol level.

abc: 4.5517 4.5517 5.1273
angles: 90.00 90.00 90.00
Fractional coordinates of all 5 atoms:
Y  0.0000  0.0000  0.0000
Ta  0.0000  0.5000  0.5000
Ta  0.5000  0.0000  0.5000
Tl  0.5000  0.5000  0.0000
Fe  0.0000  0.0000  0.5000

E_tot ... -8.2125 eV/atom
N(E_F) ... 0.721 states/eV/atom
Mass density ... 11.115 g cm⁻³
E_form ... 0.491 eV/atom
Crystal system ... tetragonal

No. 9
Below is crystalline TlHgRh2 at its relaxed geometry, with properties calculated at the PBEsol level.

abc: 4.6118 4.6118 5.2858
angles: 101.45 101.45 38.98
Fractional coordinates of all 4 atoms:
Tl  0.0000  0.0000  0.0000
Hg  0.5000  0.5000  0.5000
Rh  0.2515  0.2515  0.7480
Rh  0.7485  0.7485  0.2520

E_tot ... -4.6550 eV/atom
N(E_F) ... 0.920 states/eV/atom
Mass density ... 14.671 g cm⁻³
E_form ... 0.213 eV/atom
Crystal system ... monoclinic

No. 10
Below is crystalline RbMnF3 at its relaxed geometry, with properties calculated at the PBEsol level.

abc: 4.2191 4.2191 4.2191
angles: 90.00 90.00 90.00
Fractional coordinates of all 5 atoms:
Rb  0.0000  0.0000  0.0000
Mn  0.5000  0.5000  0.5000
F  0.0000  0.5000  0.5000
F  0.5000  0.0000  0.5000
F  0.5000  0.5000  0.0000

E_tot ... -5.8307 eV/atom
Mass density ... 4.364 g cm⁻³
Crystal system ... cubic
Uncorrected formation energy ... -2.517 eV per atom

No. 11
Below is crystalline Na3VO4 at its relaxed geometry, with properties calculated at the PBEsol level.

abc: 7.0315 6.0879 5.5352
angles: 90.00 90.00 90.00
Fractional coordinates of all 16 atoms:
Na  0.0000  0.1528  0.0000
Na  0.2446  0.3254  0.4977
Na  0.2554  0.6746  0.9977
Na  0.5000  0.8472  0.5000
Na  0.7446  0.6746  0.9977
Na  0.7554  0.3254  0.4977
V  0.0000  0.8229  0.4877
V  0.5000  0.1771  0.9877
O  0.0000  0.0918  0.5848
O  0.0000  0.8187  0.1788
O  0.2023  0.6899  0.5867
O  0.2977  0.3101  0.0867
O  0.5000  0.1813  0.6788
O  0.5000  0.9082  0.0848
O  0.7023  0.3101  0.0867
O  0.7977  0.6899  0.5867

E_tot ... -6.4982 eV/atom
N(E_F) ... 0.000 states/eV/atom
Mass density ... 2.578 g cm⁻³
Crystal system ... orthorhombic
Uncorrected formation energy ... -2.144 eV per atom

No. 12
Below is crystalline CsCuO2 at its relaxed geometry, with properties calculated at the PBEsol level.

abc: 7.1641 7.1641 7.1641
angles: 26.39 26.39 26.39
Fractional coordinates of all 4 atoms:
Cs  0.0000  0.0000  0.0000
Cu  0.5000  0.5000  0.5000
O  0.1233  0.1233  0.1233
O  0.8767  0.8767  0.8767

E_tot ... -4.2081 eV/atom
N(E_F) ... 0.386 states/eV/atom
Mass density ... 5.926 g cm⁻³
Crystal system ... trigonal
Uncorrected formation energy ... -0.264 eV per atom

No. 13
Below is crystalline KGaTc3 at its relaxed geometry, with properties calculated at the PBEsol level.

abc: 4.6919 4.6919 4.6919
angles: 90.00 90.00 90.00
Fractional coordinates of all 5 atoms:
K  0.0000  0.0000  0.0000
Ga  0.5000  0.5000  0.5000
Tc  0.0000  0.5000  0.5000
Tc  0.5000  0.0000  0.5000
Tc  0.5000  0.5000  0.0000

E_tot ... -5.7648 eV/atom
N(E_F) ... 1.089 states/eV/atom
Mass density ... 6.476 g cm⁻³
E_form ... 1.890 eV/atom
Crystal system ... cubic

No. 14
Below is crystalline BeCoSe2 at its relaxed geometry, with properties calculated at the PBEsol level.

abc: 6.2961 6.2961 6.2961
angles: 130.87 130.87 72.02
Fractional coordinates of all 8 atoms:
Be  0.0000  0.0000  0.0000
Be  0.7500  0.2500  0.5000
Co  0.2500  0.7500  0.5000
Co  0.5000  0.5000  0.0000
Se  0.1142  0.6250  0.9892
Se  0.3750  0.3642  0.4892
Se  0.6358  0.1250  0.0108
Se  0.8750  0.8858  0.5108

E_tot ... -5.1483 eV/atom
N(E_F) ... 0.896 states/eV/atom
Mass density ... 5.375 g cm⁻³
Crystal system ... tetragonal
Uncorrected formation energy ... -0.289 eV per atom

No. 15
Below is crystalline Cu4As2O9 at its relaxed geometry, with properties calculated at the PBEsol level.

abc: 8.2325 6.3890 13.7735
angles: 90.00 90.00 90.00
Fractional coordinates of all 60 atoms:
Cu  0.0743  0.2500  0.0894
Cu  0.1325  0.7500  0.4495
Cu  0.1471  0.0086  0.6548
Cu  0.1471  0.4914  0.6548
Cu  0.3529  0.5086  0.1548
Cu  0.3529  0.9914  0.1548
Cu  0.3675  0.2500  0.9495
Cu  0.4257  0.7500  0.5894
Cu  0.5743  0.2500  0.4106
Cu  0.6325  0.7500  0.0505
Cu  0.6471  0.0086  0.8452
Cu  0.6471  0.4914  0.8452
Cu  0.8529  0.5086  0.3452
Cu  0.8529  0.9914  0.3452
Cu  0.8675  0.2500  0.5505
Cu  0.9257  0.7500  0.9106
As  0.0020  0.2500  0.8447
As  0.1574  0.2500  0.4073
As  0.3426  0.7500  0.9073
As  0.4980  0.7500  0.3447
As  0.5020  0.2500  0.6553
As  0.6574  0.2500  0.0927
As  0.8426  0.7500  0.5927
As  0.9980  0.7500  0.1553
O  0.0817  0.0205  0.3565
O  0.0817  0.4795  0.3565
O  0.1042  0.2500  0.5289
O  0.1195  0.2500  0.7392
O  0.1209  0.5321  0.1464
O  0.1209  0.9679  0.1464
O  0.1327  0.2500  0.9415
O  0.1442  0.7500  0.8775
O  0.1856  0.7500  0.5917
O  0.3144  0.2500  0.0917
O  0.3558  0.2500  0.3775
O  0.3673  0.7500  0.4415
O  0.3791  0.0321  0.6464
O  0.3791  0.4679  0.6464
O  0.3805  0.7500  0.2392
O  0.3958  0.7500  0.0289
O  0.4183  0.5205  0.8565
O  0.4183  0.9795  0.8565
O  0.5817  0.0205  0.1435
O  0.5817  0.4795  0.1435
O  0.6042  0.2500  0.9711
O  0.6195  0.2500  0.7608
O  0.6209  0.5321  0.3536
O  0.6209  0.9679  0.3536
O  0.6327  0.2500  0.5585
O  0.6442  0.7500  0.6225
O  0.6856  0.7500  0.9083
O  0.8144  0.2500  0.4083
O  0.8558  0.2500  0.1225
O  0.8673  0.7500  0.0585
O  0.8791  0.0321  0.8536
O  0.8791  0.4679  0.8536
O  0.8805  0.7500  0.2608
O  0.8958  0.7500  0.4711
O  0.9183  0.5205  0.6435
O  0.9183  0.9795  0.6435

E_tot ... -5.7988 eV/atom
N(E_F) ... 0.271 states/eV/atom
Mass density ... 5.025 g cm⁻³
Crystal system ... orthorhombic
Uncorrected formation energy ... -0.813 eV per atom
E above lowest polymorph ... 0.000 eV/atom

No. 16
Below is crystalline TaAl2Tl at its relaxed geometry, with properties calculated at the PBEsol level.

abc: 3.5295 3.5295 5.8778
angles: 90.00 90.00 90.00
Fractional coordinates of all 4 atoms:
Ta  0.0000  0.0000  0.0000
Al  0.5000  0.5000  0.2197
Al  0.5000  0.5000  0.7803
Tl  0.0000  0.0000  0.5000

E_tot ... -5.6951 eV/atom
N(E_F) ... 0.505 states/eV/atom
Mass density ... 9.962 g cm⁻³
E_form ... 0.146 eV/atom
Crystal system ... tetragonal
E above lowest polymorph ... 0.035 eV/atom

No. 17
Below is crystalline BaLa3W at its relaxed geometry, with properties calculated at the PBEsol level.

abc: 5.7128 5.7128 5.7128
angles: 90.00 90.00 90.00
Fractional coordinates of all 5 atoms:
Ba  0.0000  0.0000  0.0000
La  0.0000  0.0000  0.5000
La  0.0000  0.5000  0.0000
La  0.5000  0.0000  0.0000
W  0.5000  0.5000  0.5000

E_tot ... -4.5386 eV/atom
N(E_F) ... 1.422 states/eV/atom
Mass density ... 6.572 g cm⁻³
E_form ... 1.860 eV/atom
Crystal system ... cubic

No. 18
Below is crystalline Mg2CoRe at its relaxed geometry, with properties calculated at the PBEsol level.

abc: 2.7985 2.7985 7.9682
angles: 90.00 90.00 90.00
Fractional coordinates of all 4 atoms:
Mg  0.0000  0.0000  0.0000
Mg  0.5000  0.5000  0.3311
Co  0.5000  0.5000  0.7746
Re  0.0000  0.0000  0.5918

E_tot ... -6.0215 eV/atom
N(E_F) ... 0.563 states/eV/atom
Mass density ... 7.816 g cm⁻³
E_form ... 0.104 eV/atom
Crystal system ... tetragonal
E above lowest polymorph ... 0.000 eV/atom

No. 19
Below is crystalline YAg4Au at its relaxed geometry, with properties calculated at the PBEsol level.

abc: 5.3925 5.3925 5.3925
angles: 60.00 60.00 60.00
Fractional coordinates of all 6 atoms:
Y  0.0000  0.0000  0.0000
Ag  0.1261  0.6246  0.6246
Ag  0.6246  0.1261  0.6246
Ag  0.6246  0.6246  0.1261
Ag  0.6246  0.6246  0.6246
Au  0.2500  0.2500  0.2500

E_tot ... -4.2494 eV/atom
N(E_F) ... 0.604 states/eV/atom
Mass density ... 10.743 g cm⁻³
E_form ... -0.251 eV/atom
Crystal system ... cubic

No. 20
Below is crystalline Ca2BeAuF at its relaxed geometry, with properties calculated at the PBEsol level.

abc: 4.8505 4.8505 3.8347
angles: 90.00 90.00 90.00
Fractional coordinates of all 5 atoms:
Ca  0.0000  0.5000  0.0000
Ca  0.5000  0.0000  0.0000
Be  0.0000  0.0000  0.5000
Au  0.5000  0.5000  0.5000
F  0.0000  0.0000  0.0000

E_tot ... -3.8202 eV/atom
N(E_F) ... 0.361 states/eV/atom
Mass density ... 5.616 g cm⁻³
Crystal system ... tetragonal
Uncorrected formation energy ... -0.997 eV per atom

No. 21
Below is crystalline LiLaCr2 at its relaxed geometry, with properties calculated at the PBEsol level.

abc: 5.3744 5.3744 2.6286
angles: 90.00 90.00 123.11
Fractional coordinates of all 4 atoms:
Li  0.0000  0.0000  0.0000
La  0.5000  0.5000  0.0000
Cr  0.0000  0.5000  0.5000
Cr  0.5000  0.0000  0.5000

E_tot ... -5.9285 eV/atom
N(E_F) ... 1.194 states/eV/atom
Mass density ... 6.524 g cm⁻³
E_form ... 1.021 eV/atom
Crystal system ... orthorhombic
E above lowest polymorph ... 0.566 eV/atom

No. 22
Below is crystalline KMn2Fe at its relaxed geometry, with properties calculated at the PBEsol level.

abc: 4.9418 4.9418 2.7680
angles: 90.00 90.00 90.00
Fractional coordinates of all 4 atoms:
K  0.0000  0.0000  0.0000
Mn  0.0000  0.5000  0.5000
Mn  0.5000  0.0000  0.5000
Fe  0.5000  0.5000  0.0000

E_tot ... -5.9550 eV/atom
N(E_F) ... 0.989 states/eV/atom
Mass density ... 5.031 g cm⁻³
E_form ... 1.450 eV/atom
Crystal system ... tetragonal
E above lowest polymorph ... 0.632 eV/atom

No. 23
Below is crystalline BeAs2Se at its relaxed geometry, with properties calculated at the PBEsol level.

abc: 3.6141 3.6141 8.5238
angles: 102.46 102.46 60.07
Fractional coordinates of all 4 atoms:
Be  0.0000  0.0000  0.0000
As  0.5331  0.5331  0.5667
As  0.8097  0.8097  0.3996
Se  0.3268  0.3268  0.9800

E_tot ... -4.7309 eV/atom
Mass density ... 4.226 g cm⁻³
Crystal system ... monoclinic
Uncorrected formation energy ... -0.215 eV per atom
E above lowest polymorph ... 0.000 eV/atom

No. 24
Below is crystalline AgRu2Br at its relaxed geometry, with properties calculated at the PBEsol level.

abc: 4.5867 4.5867 2.9302
angles: 90.00 90.00 99.55
Fractional coordinates of all 4 atoms:
Ag  0.0000  0.0000  0.0000
Ru  0.0000  0.5000  0.5000
Ru  0.5000  0.0000  0.5000
Br  0.5000  0.5000  0.0000

E_tot ... -5.3695 eV/atom
N(E_F) ... 1.032 states/eV/atom
Mass density ... 10.650 g cm⁻³
Crystal system ... orthorhombic
Uncorrected formation energy ... 1.012 eV per atom
E above lowest polymorph ... 0.229 eV/atom

No. 25
Below is crystalline BaCa2TlPd at its relaxed geometry, with properties calculated at the PBEsol level.

abc: 5.4971 5.4971 5.3702
angles: 90.00 90.00 90.00
Fractional coordinates of all 5 atoms:
Ba  0.0000  0.0000  0.0000
Ca  0.0000  0.5000  0.5000
Ca  0.5000  0.0000  0.5000
Tl  0.5000  0.5000  0.0000
Pd  0.5000  0.5000  0.5000

E_tot ... -3.3399 eV/atom
N(E_F) ... 0.701 states/eV/atom
Mass density ... 5.406 g cm⁻³
E_form ... -0.339 eV/atom
Crystal system ... tetragonal